(1)
Below is CePa2 after structural relaxation, with properties calculated at the PBE-GGA level.

Computed properties:
Polymorph energy (0 for the lowest one) in meV per atom: 18
Crystal system: monoclinic
Magnetization in μB per cell: 0.0
ΔH_f (0 K) in eV per atom: 0.04
Energy in eV per atom: -8.269

abc: 3.254 3.254 8.248
angles: 84.27 84.27 60.35
Atoms (fractional coordinates):
Ce 0.000 0.000 0.000
Pa 0.289 0.289 0.339
Pa 0.711 0.711 0.661

(2)
Below is Cs2ZrCuCl6 after structural relaxation, with properties calculated at the PBE-GGA level.

Computed properties:
Formation energy from raw total energies in meV/atom: -1525
Crystal system: tetragonal
Magnetization in μB per cell: 1.0
Energy in eV per atom: -4.068

abc: 7.172 7.172 7.512
angles: 61.49 61.49 90.00
Atoms (fractional coordinates):
Cs 0.750 0.250 0.500
Cs 0.250 0.750 0.500
Cu 0.500 0.500 0.000
Zr 0.000 0.000 0.000
Cl 0.231 0.231 0.539
Cl 0.769 0.769 0.461
Cl 0.256 0.256 0.000
Cl 0.744 0.744 0.000
Cl 0.744 0.256 0.000
Cl 0.256 0.744 0.000

(3)
Below is SmScOs after structural relaxation, with properties calculated at the PBE-GGA level.

Computed properties:
Polymorph energy (0 for the lowest one) in meV per atom: 145
Crystal system: cubic
Magnetization in μB per cell: 0.0
ΔH_f (0 K) in eV per atom: -0.14
Energy in eV per atom: -7.562

abc: 4.691 4.691 4.691
angles: 60.00 60.00 60.00
Atoms (fractional coordinates):
Sc 0.000 0.000 0.000
Os 0.250 0.250 0.250
Sm 0.500 0.500 0.500